A geometry-optimized Ba2ReBr structure, computed with PBE.

```
data_Ba2ReBr
_cell_length_a 8.336
_cell_length_b 8.336
_cell_length_c 9.286
_cell_angle_alpha 90.00
_cell_angle_beta 90.00
_cell_angle_gamma 90.00
_symmetry_space_group_name_H-M 'I -4 2 d'
_symmetry_Int_Tables_number 122
_symmetry_space_group_name_Hall 'I -4 2bw'
loop_
_atom_site_label
_atom_site_fract_x
_atom_site_fract_y
_atom_site_fract_z
Ba1 0.228 0.250 0.125
Re1 0.000 0.000 0.000
Br1 0.000 0.000 0.500
```

Results
uncorrected energy: -4.1088 eV per atom
magnetization: 8.0 μB per cell
ΔE_f (raw): 0.38 eV per atom